Here is a relaxed structure of Hf2NbRe from the Alexandria database. Energies are from PBE. Values from VASP.

```
&SYSTEM
  ibrav = 0, nat = 4, ntyp = 3
/
ATOMIC_SPECIES
Hf 178.49 Hf.upf
Nb 92.91 Nb.upf
Re 186.21 Re.upf
CELL_PARAMETERS angstrom
4.715 0.000 0.000
0.000 4.715 0.000
0.000 0.000 3.356
ATOMIC_POSITIONS crystal
Hf 0.000 0.500 0.000
Hf 0.500 0.000 0.000
Nb 0.000 0.000 0.500
Re 0.500 0.500 0.500
```

Calculated values
**Calculated formation energy**: -29 kJ/mol of formula units
**Calculated total energy**: -10.681 eV/atom
**SG**: P4/mmm, No. 123
**Density of states at the Fermi level**: 7.320 states/eV per cell